First-principles (PBEsol) data for a relaxed structure of Y2Co, as listed in the Alexandria database.

Unit cell a=6.208 b=6.229 c=3.862 alpha=90.00 beta=90.00 gamma=90.00
Space group Pnnm (No. 58)
Symmetry-distinct sites (fractional):
Y 0.240 0.161 0.000 [4 per cell]
Co 0.000 0.000 0.500 [2 per cell]

- calculated formation energy (meV per atom) = -74.3